No. 1
InNi2Se after structural relaxation. Source: the Alexandria database, functional PBE.

```
4
Lattice="-1.850 -3.631 0.213 0.782 -3.619 1.716 -3.209 -0.678 5.626" Properties=species:S:1:pos:R:3 pbc="T T T"
Ni -1.864 -3.769 3.296
Ni -0.274 -0.195 0.482
In -3.208 -5.946 5.667
Se -1.069 -1.982 1.889
```

Calculated values
The density is 7.50 g/cm3. For the formation energy (no corrections), the calculation gives 10.1 meV/atom. For the total energy, the calculation gives -0.3261 Ry per atom.

=====

No. 2
In2NiSe after structural relaxation. Source: the Alexandria database, functional PBE.

```
4
Lattice="-1.791 5.778 3.200 0.383 -4.223 2.432 2.189 1.508 2.322" Properties=species:S:1:pos:R:3 pbc="T T T"
Se -0.704 0.777 2.816
In 0.199 3.643 2.761
In 0.000 0.000 0.000
Ni 1.286 -1.357 2.377
```

Calculated values
The density is 7.51 g/cm3. For the formation energy (no corrections), the calculation gives 135.9 meV/atom. For the total energy, the calculation gives -0.2609 Ry per atom.

=====

What is the formation energy (no corrections) in the first record? 10.1 meV/atom